# Th8FeGe2

Crystalline Th8FeGe2 at its relaxed geometry (PBE-GGA, Alexandria via LeMat-Bulk).

```
Th8FeGe2
1.0
-0.674 -0.253 -5.359
-5.705 -3.248 0.871
-0.796 9.231 2.393
Th Fe Ge
8 1 2
Cartesian
-4.211 5.653 0.263
-6.215 -0.650 -1.915
-4.847 2.728 -2.247
-2.738 8.087 -2.765
-2.328 3.003 0.151
-0.960 6.380 -0.180
-2.964 0.078 -2.359
-4.437 -2.357 0.670
-0.337 -0.126 -2.680
-2.680 4.963 -2.625
-4.495 0.767 0.529
```

Computed properties:
volume	303.47	Å³/cell
size of the total moment	0.0000	μB/atom
final energy	-7.1268	eV/atom
energy relative to the elements	-1.34	eV per formula unit